[1]
GGA-PBE NpSbO2, optimized geometry; DOS at the Fermi energy = 3.350 states/eV/f.u.; crystal system = trigonal; formation energy without anion corrections = -1.101 eV/atom; calculated total energy = -7.85 eV per atom
1.0
2.097 1.210 5.221
-2.097 1.210 5.221
0.000 -2.421 5.221
Np Sb O
1 1 2
direct
0.000 0.000 0.000
0.500 0.500 0.500
0.128 0.128 0.128
0.872 0.872 0.872

***

[2]
GGA-PBE NpSbO, optimized geometry; DOS at the Fermi energy = 7.781 states/eV/f.u.; crystal system = hexagonal; formation energy without anion corrections = -1.507 eV/atom; relative energy among the computed polymorphs = 0.000 eV per atom; calculated total energy = -8.85 eV per atom
1.0
3.781 0.000 0.000
-1.891 3.274 0.000
0.000 0.000 5.117
Np Sb O
1 1 1
direct
0.000 0.000 0.000
0.667 0.333 0.500
0.333 0.667 0.000

***

[3]
GGA-PBE NpSbO, optimized geometry; DOS at the Fermi energy = 6.795 states/eV/f.u.; crystal system = trigonal; formation energy without anion corrections = -1.450 eV/atom; relative energy among the computed polymorphs = 0.056 eV per atom; calculated total energy = -8.79 eV per atom
1.0
3.860 0.000 0.000
-1.930 3.342 0.000
0.000 0.000 10.071
Np Sb O
2 2 2
direct
0.333 0.667 0.354
0.667 0.333 0.646
0.333 0.667 0.903
0.667 0.333 0.097
0.333 0.667 0.584
0.667 0.333 0.416

***

[4]
GGA-PBE NpSb2O8, optimized geometry; DOS at the Fermi energy = 6.235 states/eV/f.u.; crystal system = monoclinic; formation energy without anion corrections = -1.643 eV/atom; calculated total energy = -7.18 eV per atom
1.0
2.717 -4.569 0.000
2.717 4.569 0.000
-1.260 0.000 6.151
Np Sb O
1 2 8
direct
0.000 0.000 0.000
0.326 0.674 0.500
0.674 0.326 0.500
0.051 0.391 0.665
0.192 0.808 0.000
0.338 0.338 0.302
0.391 0.051 0.665
0.609 0.949 0.335
0.662 0.662 0.698
0.808 0.192 0.000
0.949 0.609 0.335

***

[5]
GGA-PBE NpSb2O6, optimized geometry; crystal system = monoclinic; formation energy without anion corrections = -1.922 eV/atom; calculated total energy = -7.58 eV per atom
1.0
5.820 0.000 0.000
0.000 7.043 0.000
-5.701 0.000 9.282
Np Sb O
2 4 12
direct
0.000 0.000 0.000
0.000 0.500 0.500
0.257 0.029 0.746
0.257 0.471 0.246
0.743 0.529 0.754
0.743 0.971 0.254
0.060 0.113 0.841
0.060 0.387 0.341
0.176 0.237 0.127
0.176 0.263 0.627
0.380 0.622 0.597
0.380 0.878 0.097
0.620 0.122 0.903
0.620 0.378 0.403
0.824 0.737 0.373
0.824 0.763 0.873
0.940 0.613 0.659
0.940 0.887 0.159

***

[6]
GGA-PBE Np2SbO, optimized geometry; DOS at the Fermi energy = 11.820 states/eV/f.u.; crystal system = orthorhombic; formation energy without anion corrections = -1.218 eV/atom; relative energy among the computed polymorphs = 0.000 eV per atom; calculated total energy = -9.96 eV per atom
1.0
2.707 -5.898 0.000
2.707 5.898 0.000
0.000 0.000 5.665
Np Sb O
4 2 2
direct
0.137 0.346 0.000
0.346 0.137 0.500
0.654 0.863 0.500
0.863 0.654 0.000
0.000 0.500 0.500
0.500 0.000 0.000
0.000 0.000 0.250
0.000 0.000 0.750

***

[7]
GGA-PBE Np2SbO2, optimized geometry; DOS at the Fermi energy = 11.218 states/eV/f.u.; crystal system = tetragonal; formation energy without anion corrections = -2.094 eV/atom; calculated total energy = -10.08 eV per atom
1.0
-1.957 1.957 6.136
1.957 -1.957 6.136
1.957 1.957 -6.136
Np Sb O
2 1 2
direct
0.152 0.152 0.000
0.848 0.848 0.000
0.500 0.500 0.000
0.250 0.750 0.500
0.750 0.250 0.500

***

[8]
GGA-PBE Np4Sb2O, optimized geometry; DOS at the Fermi energy = 23.974 states/eV/f.u.; crystal system = tetragonal; formation energy without anion corrections = -0.645 eV/atom; calculated total energy = -9.93 eV per atom
1.0
-2.340 2.340 7.988
2.340 -2.340 7.988
2.340 2.340 -7.988
Np Sb O
4 2 1
direct
0.000 0.500 0.500
0.159 0.159 0.000
0.500 0.000 0.500
0.841 0.841 0.000
0.357 0.357 0.000
0.643 0.643 0.000
0.000 0.000 0.000

***

[9]
GGA-PBE NpSbSe2O, optimized geometry; DOS at the Fermi energy = 6.380 states/eV/f.u.; crystal system = tetragonal; formation energy without anion corrections = -1.325 eV/atom; calculated total energy = -7.12 eV per atom
1.0
4.039 0.000 0.000
0.000 4.039 0.000
0.000 0.000 13.795
Np Sb Se O
2 2 4 2
direct
0.250 0.250 0.085
0.750 0.750 0.915
0.250 0.250 0.619
0.750 0.750 0.381
0.250 0.250 0.388
0.250 0.250 0.815
0.750 0.750 0.185
0.750 0.750 0.612
0.250 0.750 0.000
0.750 0.250 0.000

***

[10]
GGA-PBE Np2SbSe2O2, optimized geometry; DOS at the Fermi energy = 13.813 states/eV/f.u.; crystal system = trigonal; formation energy without anion corrections = -1.527 eV/atom; calculated total energy = -8.23 eV per atom
1.0
3.715 0.000 0.000
-1.858 3.217 0.000
0.000 0.000 13.722
Np Sb Se O
2 1 2 2
direct
0.333 0.667 0.270
0.667 0.333 0.730
0.000 0.000 0.500
0.000 0.000 0.136
0.000 0.000 0.864
0.333 0.667 0.694
0.667 0.333 0.306

***

Copy entry 8 word for word.
GGA-PBE Np4Sb2O, optimized geometry; DOS at the Fermi energy = 23.974 states/eV/f.u.; crystal system = tetragonal; formation energy without anion corrections = -0.645 eV/atom; calculated total energy = -9.93 eV per atom
1.0
-2.340 2.340 7.988
2.340 -2.340 7.988
2.340 2.340 -7.988
Np Sb O
4 2 1
direct
0.000 0.500 0.500
0.159 0.159 0.000
0.500 0.000 0.500
0.841 0.841 0.000
0.357 0.357 0.000
0.643 0.643 0.000
0.000 0.000 0.000